Here is KYbMo2O8 after structural relaxation from Alexandria. Energies are from PBE+U.

- Energy: -0.4915 Ry/atom
- Space-group type: Pbcn (60)
- Magnetization: 1.06 μB per formula unit

Lattice parameters (Å, degrees): 5.159 8.045 18.840 90.00 90.00 90.00
Sites, in units of the cell vectors:
1 O 0.608 0.020 0.187
2 O 0.392 0.980 0.813
3 O 0.238 0.695 0.408
4 O 0.730 0.158 0.902
5 O 0.108 0.980 0.313
6 O 0.749 0.993 0.535
7 O 0.270 0.342 0.902
8 O 0.770 0.158 0.402
9 O 0.238 0.195 0.592
10 O 0.751 0.493 0.965
11 O 0.892 0.520 0.313
12 O 0.251 0.507 0.535
13 O 0.770 0.658 0.598
14 K 0.000 0.750 0.772
15 K 0.000 0.250 0.228
16 K 0.500 0.250 0.728
17 Yb 0.000 0.750 0.006
18 Mo 0.016 0.018 0.600
19 Mo 0.484 0.018 0.100
20 O 0.608 0.520 0.813
21 O 0.751 0.993 0.035
22 O 0.262 0.195 0.092
23 K 0.500 0.750 0.272
24 O 0.730 0.658 0.098
25 O 0.251 0.007 0.465
26 O 0.230 0.842 0.598
27 O 0.108 0.480 0.687
28 Mo 0.516 0.982 0.900
29 Mo 0.484 0.518 0.900
30 O 0.738 0.805 0.908
31 O 0.270 0.842 0.098
32 O 0.249 0.507 0.035
33 O 0.392 0.480 0.187
34 O 0.749 0.493 0.465
35 Yb 0.500 0.750 0.506
36 Mo 0.984 0.482 0.600
37 O 0.738 0.305 0.092
38 Mo 0.984 0.982 0.400
39 O 0.762 0.305 0.592
40 O 0.230 0.342 0.402
41 Mo 0.016 0.518 0.400
42 Yb 0.000 0.250 0.994
43 Mo 0.516 0.482 0.100
44 O 0.892 0.020 0.687
45 Yb 0.500 0.250 0.494
46 O 0.249 0.007 0.965
47 O 0.262 0.695 0.908
48 O 0.762 0.805 0.408